First-principles (GGA-PBE) data for TmCuAu after structural relaxation, as listed in the Alexandria database.

Geometry as CIF:
```
data_TmCuAu
_cell_length_a 3.424
_cell_length_b 4.458
_cell_length_c 4.458
_cell_angle_alpha 120.00
_cell_angle_beta 90.00
_cell_angle_gamma 90.00
_space_group_name_H-M_alt 'P 1'
_space_group_IT_number 1
loop_
_space_group_symop_operation_xyz
'x,y,z'
loop_
_atom_site_label
_atom_site_fract_x
_atom_site_fract_y
_atom_site_fract_z
Tm1 0.667 0.667 0.333
Au1 0.167 0.333 0.667
Cu1 0.167 0.000 0.000
```

## Properties
E_tot = -13.55 eV for the cell shown
Energy of formation from the pure elements = -567 meV per atom
Offset from the most stable computed form = 4 meV/atom